(1)
# PBE BaCa4Pb5, optimized geometry
# * DFT formation energy: -0.522 eV per atom
data_BaCa4Pb5
_cell_length_a 3.6885
_cell_length_b 4.6063
_cell_length_c 18.7158
_cell_angle_alpha 90.00
_cell_angle_beta 90.00
_cell_angle_gamma 90.00
_space_group_name_H-M_alt 'P m m m'
_space_group_IT_number 47
loop_
_space_group_symop_operation_xyz
'x,y,z'
'-x,-y,-z'
'-x,-y,z'
'x,y,-z'
'x,-y,-z'
'-x,y,z'
'-x,y,-z'
'x,-y,z'
loop_
_atom_site_label
_atom_site_type_symbol
_atom_site_fract_x
_atom_site_fract_y
_atom_site_fract_z
Ba1 Ba 0.0000 0.0000 0.0000
Ca1 Ca 0.0000 0.0000 0.2114
Ca2 Ca 0.0000 0.0000 0.4032
Pb1 Pb 0.5000 0.5000 0.1225
Pb2 Pb 0.5000 0.5000 0.3058
Pb3 Pb 0.5000 0.5000 0.5000


(2)
# PBE BaCaPb4, optimized geometry
# * DFT formation energy: -0.347 eV per atom
# * energy above the most stable polymorph in this dataset: 0 meV/atom
data_BaCaPb4
_cell_length_a 5.0816
_cell_length_b 24.0599
_cell_length_c 6.8667
_cell_angle_alpha 90.00
_cell_angle_beta 90.00
_cell_angle_gamma 90.00
_space_group_name_H-M_alt 'C m c m'
_space_group_IT_number 63
_space_group_name_Hall '-C 2c 2'
loop_
_atom_site_label
_atom_site_type_symbol
_atom_site_fract_x
_atom_site_fract_y
_atom_site_fract_z
Ba1 Ba 0.0000 0.2229 0.2500
Ca1 Ca 0.0000 0.0714 0.7500
Pb1 Pb 0.0000 0.0726 0.2500
Pb2 Pb 0.0000 0.3592 0.0089
Pb3 Pb 0.0000 0.5000 0.0000


(3)
# PBE Ba3CaPb2, optimized geometry
# * DFT formation energy: -0.517 eV per atom
data_Ba3CaPb2
_cell_length_a 7.9969
_cell_length_b 17.4430
_cell_length_c 7.6510
_cell_angle_alpha 90.00
_cell_angle_beta 90.00
_cell_angle_gamma 90.00
_space_group_name_H-M_alt 'I b a m'
_space_group_IT_number 72
_space_group_name_Hall '-I 2 2c'
loop_
_atom_site_label
_atom_site_type_symbol
_atom_site_fract_x
_atom_site_fract_y
_atom_site_fract_z
Ba1 Ba 0.0000 0.0000 0.2500
Ba2 Ba 0.2154 0.3172 0.0000
Ca1 Ca 0.0000 0.5000 0.2500
Pb1 Pb 0.2283 0.3819 0.5000


(4)
# PBE BaCa3Pb2, optimized geometry
# * DFT formation energy: -0.487 eV per atom
data_BaCa3Pb2
_cell_length_a 21.2333
_cell_length_b 5.2209
_cell_length_c 12.5261
_cell_angle_alpha 90.00
_cell_angle_beta 101.25
_cell_angle_gamma 90.00
_space_group_name_H-M_alt 'C 1 2/m 1'
_space_group_IT_number 12
loop_
_space_group_symop_operation_xyz
'x,y,z'
'-x,-y,-z'
'-x,y,-z'
'x,-y,z'
'x+1/2,y+1/2,z'
'-x+1/2,-y+1/2,-z'
'-x+1/2,y+1/2,-z'
'x+1/2,-y+1/2,z'
loop_
_atom_site_label
_atom_site_type_symbol
_atom_site_fract_x
_atom_site_fract_y
_atom_site_fract_z
Ba1 Ba 0.0000 0.0000 0.0000
Ba2 Ba 0.1499 0.0000 0.6963
Ca1 Ca 0.0000 0.5000 0.5000
Ca2 Ca 0.0461 0.0000 0.3325
Ca3 Ca 0.1197 0.5000 0.2049
Ca4 Ca 0.1805 0.5000 0.9586
Ca5 Ca 0.2172 0.0000 0.3909
Pb1 Pb 0.0387 0.5000 0.7901
Pb2 Pb 0.1433 0.5000 0.4666
Pb3 Pb 0.1843 0.0000 0.1245


(5)
# PBE Ba2CaPb, optimized geometry
# * DFT formation energy: -0.084 eV per atom
data_Ba2CaPb
_cell_length_a 10.3210
_cell_length_b 10.3210
_cell_length_c 7.2714
_cell_angle_alpha 90.00
_cell_angle_beta 90.00
_cell_angle_gamma 90.00
_space_group_name_H-M_alt 'I -4 2 d'
_space_group_IT_number 122
_space_group_name_Hall 'I -4 2bw'
loop_
_atom_site_label
_atom_site_type_symbol
_atom_site_fract_x
_atom_site_fract_y
_atom_site_fract_z
Ba1 Ba 0.1994 0.2500 0.1250
Ca1 Ca 0.0000 0.0000 0.5000
Pb1 Pb 0.0000 0.0000 0.0000


(6)
# PBE BaCa3Pb, optimized geometry
# * DFT formation energy: 0.862 eV per atom
# * energy above the most stable polymorph in this dataset: 993 meV/atom
data_BaCa3Pb
_cell_length_a 6.0303
_cell_length_b 6.0303
_cell_length_c 6.0303
_cell_angle_alpha 90.00
_cell_angle_beta 90.00
_cell_angle_gamma 90.00
_space_group_name_H-M_alt 'P m -3 m'
_space_group_IT_number 221
_space_group_name_Hall '-P 4 2 3'
loop_
_atom_site_label
_atom_site_type_symbol
_atom_site_fract_x
_atom_site_fract_y
_atom_site_fract_z
Ba1 Ba 0.0000 0.0000 0.0000
Ca1 Ca 0.0000 0.0000 0.5000
Pb1 Pb 0.5000 0.5000 0.5000


(7)
# PBE Ba2Ca2Pb, optimized geometry
# * DFT formation energy: -0.151 eV per atom
# * energy above the most stable polymorph in this dataset: 0 meV/atom
data_Ba2Ca2Pb
_cell_length_a 8.5374
_cell_length_b 8.5374
_cell_length_c 6.2492
_cell_angle_alpha 90.00
_cell_angle_beta 90.00
_cell_angle_gamma 90.00
_space_group_name_H-M_alt 'P 4/m b m'
_space_group_IT_number 127
_space_group_name_Hall '-P 4 2ab'
loop_
_atom_site_label
_atom_site_type_symbol
_atom_site_fract_x
_atom_site_fract_y
_atom_site_fract_z
Ba1 Ba 0.1730 0.3270 0.0000
Ca1 Ca 0.1509 0.6509 0.5000
Pb1 Pb 0.0000 0.0000 0.5000


(8)
# PBE Ba2CaPb, optimized geometry
# * DFT formation energy: -0.147 eV per atom
data_Ba2CaPb
_cell_length_a 8.7151
_cell_length_b 8.7151
_cell_length_c 8.7151
_cell_angle_alpha 90.00
_cell_angle_beta 90.00
_cell_angle_gamma 90.00
_space_group_name_H-M_alt 'F -4 3 m'
_space_group_IT_number 216
_space_group_name_Hall 'F -4 2 3'
loop_
_atom_site_label
_atom_site_type_symbol
_atom_site_fract_x
_atom_site_fract_y
_atom_site_fract_z
Ba1 Ba 0.0000 0.0000 0.0000
Ba2 Ba 0.2500 0.2500 0.2500
Ca1 Ca 0.0000 0.0000 0.5000
Pb1 Pb 0.2500 0.2500 0.7500


(9)
# PBE BaCa3Pb4, optimized geometry
# * DFT formation energy: -0.503 eV per atom
data_BaCa3Pb4
_cell_length_a 11.5137
_cell_length_b 7.6610
_cell_length_c 5.9456
_cell_angle_alpha 90.00
_cell_angle_beta 90.00
_cell_angle_gamma 90.00
_space_group_name_H-M_alt 'P m m a'
_space_group_IT_number 51
loop_
_space_group_symop_operation_xyz
'x,y,z'
'-x,-y,-z'
'-x+1/2,-y,z'
'x+1/2,y,-z'
'x+1/2,-y,-z'
'-x+1/2,y,z'
'-x,y,-z'
'x,-y,z'
loop_
_atom_site_label
_atom_site_type_symbol
_atom_site_fract_x
_atom_site_fract_y
_atom_site_fract_z
Ba1 Ba 0.0000 0.0000 0.0000
Ca1 Ca 0.0000 0.5000 0.0000
Ca2 Ca 0.2500 0.0000 0.4416
Ca3 Ca 0.2500 0.5000 0.3917
Pb1 Pb 0.0000 0.2735 0.5000
Pb2 Pb 0.2500 0.2754 0.8901


(10)
# PBE BaCaPb6, optimized geometry
# * DFT formation energy: -0.339 eV per atom
data_BaCaPb6
_cell_length_a 5.0492
_cell_length_b 5.0492
_cell_length_c 10.0341
_cell_angle_alpha 90.00
_cell_angle_beta 90.00
_cell_angle_gamma 90.00
_space_group_name_H-M_alt 'P 4/m m m'
_space_group_IT_number 123
_space_group_name_Hall '-P 4 2'
loop_
_atom_site_label
_atom_site_type_symbol
_atom_site_fract_x
_atom_site_fract_y
_atom_site_fract_z
Ba1 Ba 0.0000 0.0000 0.0000
Ca1 Ca 0.0000 0.0000 0.5000
Pb1 Pb 0.0000 0.5000 0.2621
Pb2 Pb 0.5000 0.5000 0.0000
Pb3 Pb 0.5000 0.5000 0.5000


(11)
# PBE BaCa2Pb, optimized geometry
# * DFT formation energy: -0.267 eV per atom
data_BaCa2Pb
_cell_length_a 4.3205
_cell_length_b 4.3205
_cell_length_c 8.7775
_cell_angle_alpha 90.00
_cell_angle_beta 90.00
_cell_angle_gamma 90.00
_space_group_name_H-M_alt 'P 4 m m'
_space_group_IT_number 99
loop_
_space_group_symop_operation_xyz
'x,y,z'
'-y,x,z'
'-x,-y,z'
'y,-x,z'
'-x,y,z'
'y,x,z'
'x,-y,z'
'-y,-x,z'
loop_
_atom_site_label
_atom_site_type_symbol
_atom_site_fract_x
_atom_site_fract_y
_atom_site_fract_z
Ba1 Ba 0.0000 0.0000 0.0000
Ca1 Ca 0.0000 0.0000 0.5871
Ca2 Ca 0.5000 0.5000 0.3362
Pb1 Pb 0.5000 0.5000 0.7487


(12)
# PBE Ba2CaPb2, optimized geometry
# * DFT formation energy: -0.502 eV per atom
# * energy above the most stable polymorph in this dataset: 0 meV/atom
data_Ba2CaPb2
_cell_length_a 8.8105
_cell_length_b 8.8105
_cell_length_c 5.3071
_cell_angle_alpha 90.00
_cell_angle_beta 90.00
_cell_angle_gamma 90.00
_space_group_name_H-M_alt 'P 4/m b m'
_space_group_IT_number 127
_space_group_name_Hall '-P 4 2ab'
loop_
_atom_site_label
_atom_site_type_symbol
_atom_site_fract_x
_atom_site_fract_y
_atom_site_fract_z
Ba1 Ba 0.1652 0.3348 0.0000
Ca1 Ca 0.0000 0.0000 0.5000
Pb1 Pb 0.1303 0.6303 0.5000


(13)
# PBE BaCa2Pb3, optimized geometry
# * DFT formation energy: -0.509 eV per atom
# * energy above the most stable polymorph in this dataset: 0 meV/atom
data_BaCa2Pb3
_cell_length_a 4.0362
_cell_length_b 4.0362
_cell_length_c 12.3925
_cell_angle_alpha 90.00
_cell_angle_beta 90.00
_cell_angle_gamma 90.00
_space_group_name_H-M_alt 'P 4/m m m'
_space_group_IT_number 123
_space_group_name_Hall '-P 4 2'
loop_
_atom_site_label
_atom_site_type_symbol
_atom_site_fract_x
_atom_site_fract_y
_atom_site_fract_z
Ba1 Ba 0.0000 0.0000 0.0000
Ca1 Ca 0.0000 0.0000 0.3464
Pb1 Pb 0.5000 0.5000 0.1969
Pb2 Pb 0.5000 0.5000 0.5000


(14)
# PBE BaCaPb4, optimized geometry
# * DFT formation energy: -0.332 eV per atom
# * energy above the most stable polymorph in this dataset: 14 meV/atom
data_BaCaPb4
_cell_length_a 9.4350
_cell_length_b 9.4350
_cell_length_c 9.4350
_cell_angle_alpha 90.00
_cell_angle_beta 90.00
_cell_angle_gamma 90.00
_space_group_name_H-M_alt 'F -4 3 m'
_space_group_IT_number 216
_space_group_name_Hall 'F -4 2 3'
loop_
_atom_site_label
_atom_site_type_symbol
_atom_site_fract_x
_atom_site_fract_y
_atom_site_fract_z
Ba1 Ba 0.0000 0.0000 0.0000
Ca1 Ca 0.2500 0.2500 0.2500
Pb1 Pb 0.1273 0.1273 0.6273


(15)
# PBE BaCa2Pb, optimized geometry
# * DFT formation energy: -0.153 eV per atom
data_BaCa2Pb
_cell_length_a 4.0586
_cell_length_b 4.0586
_cell_length_c 35.2625
_cell_angle_alpha 90.00
_cell_angle_beta 90.00
_cell_angle_gamma 120.00
_space_group_name_H-M_alt 'R -3 m'
_space_group_IT_number 166
_space_group_name_Hall '-R 3 2"'
loop_
_atom_site_label
_atom_site_type_symbol
_atom_site_fract_x
_atom_site_fract_y
_atom_site_fract_z
Ba1 Ba 0.0000 0.0000 0.0000
Ca1 Ca 0.0000 0.0000 0.2328
Pb1 Pb 0.0000 0.0000 0.5000


(16)
# PBE BaCa2Pb, optimized geometry
# * DFT formation energy: -0.266 eV per atom
data_BaCa2Pb
_cell_length_a 3.9302
_cell_length_b 3.9302
_cell_length_c 10.5443
_cell_angle_alpha 90.00
_cell_angle_beta 90.00
_cell_angle_gamma 90.00
_space_group_name_H-M_alt 'P 4/m m m'
_space_group_IT_number 123
_space_group_name_Hall '-P 4 2'
loop_
_atom_site_label
_atom_site_type_symbol
_atom_site_fract_x
_atom_site_fract_y
_atom_site_fract_z
Ba1 Ba 0.0000 0.0000 0.0000
Ca1 Ca 0.5000 0.5000 0.3144
Pb1 Pb 0.0000 0.0000 0.5000


(17)
# PBE BaCa2Pb, optimized geometry
# * DFT formation energy: -0.245 eV per atom
data_BaCa2Pb
_cell_length_a 4.1444
_cell_length_b 5.3425
_cell_length_c 7.4817
_cell_angle_alpha 90.00
_cell_angle_beta 104.67
_cell_angle_gamma 90.00
_space_group_name_H-M_alt 'P 1 2/m 1'
_space_group_IT_number 10
loop_
_space_group_symop_operation_xyz
'x,y,z'
'-x,-y,-z'
'-x,y,-z'
'x,-y,z'
loop_
_atom_site_label
_atom_site_type_symbol
_atom_site_fract_x
_atom_site_fract_y
_atom_site_fract_z
Ba1 Ba 0.0000 0.0000 0.0000
Ca1 Ca 0.3762 0.5000 0.7113
Pb1 Pb 0.0000 0.0000 0.5000


(18)
# PBE BaCa2Pb, optimized geometry
# * DFT formation energy: -0.241 eV per atom
data_BaCa2Pb
_cell_length_a 8.4925
_cell_length_b 8.4925
_cell_length_c 8.4925
_cell_angle_alpha 90.00
_cell_angle_beta 90.00
_cell_angle_gamma 90.00
_space_group_name_H-M_alt 'F -4 3 m'
_space_group_IT_number 216
_space_group_name_Hall 'F -4 2 3'
loop_
_atom_site_label
_atom_site_type_symbol
_atom_site_fract_x
_atom_site_fract_y
_atom_site_fract_z
Ba1 Ba 0.0000 0.0000 0.0000
Ca1 Ca 0.0000 0.0000 0.5000
Ca2 Ca 0.2500 0.2500 0.7500
Pb1 Pb 0.2500 0.2500 0.2500


(19)
# PBE Ba2Ca2Pb, optimized geometry
# * DFT formation energy: 0.266 eV per atom
# * energy above the most stable polymorph in this dataset: 417 meV/atom
data_Ba2Ca2Pb
_cell_length_a 4.8099
_cell_length_b 4.8099
_cell_length_c 19.8838
_cell_angle_alpha 90.00
_cell_angle_beta 90.00
_cell_angle_gamma 90.00
_space_group_name_H-M_alt 'I 4/m m m'
_space_group_IT_number 139
_space_group_name_Hall '-I 4 2'
loop_
_atom_site_label
_atom_site_type_symbol
_atom_site_fract_x
_atom_site_fract_y
_atom_site_fract_z
Ba1 Ba 0.0000 0.5000 0.2500
Ca1 Ca 0.0000 0.0000 0.0835
Pb1 Pb 0.0000 0.0000 0.5000


(20)
# PBE BaCa2Pb, optimized geometry
# * DFT formation energy: -0.309 eV per atom
data_BaCa2Pb
_cell_length_a 5.2746
_cell_length_b 5.2746
_cell_length_c 5.3993
_cell_angle_alpha 90.00
_cell_angle_beta 90.00
_cell_angle_gamma 90.00
_space_group_name_H-M_alt 'P 4/m m m'
_space_group_IT_number 123
_space_group_name_Hall '-P 4 2'
loop_
_atom_site_label
_atom_site_type_symbol
_atom_site_fract_x
_atom_site_fract_y
_atom_site_fract_z
Ba1 Ba 0.0000 0.0000 0.0000
Ca1 Ca 0.0000 0.5000 0.5000
Pb1 Pb 0.5000 0.5000 0.0000


(21)
# PBE Ba3CaPb6, optimized geometry
# * DFT formation energy: -0.433 eV per atom
data_Ba3CaPb6
_cell_length_a 13.9318
_cell_length_b 13.9318
_cell_length_c 13.4058
_cell_angle_alpha 90.00
_cell_angle_beta 90.00
_cell_angle_gamma 120.00
_space_group_name_H-M_alt 'R -3 c'
_space_group_IT_number 167
_space_group_name_Hall '-R 3 2"c'
loop_
_atom_site_label
_atom_site_type_symbol
_atom_site_fract_x
_atom_site_fract_y
_atom_site_fract_z
Ba1 Ba 0.0000 0.4349 0.2500
Ca1 Ca 0.0000 0.0000 0.0000
Pb1 Pb 0.0740 0.2076 0.3403


(22)
# PBE BaCa2Pb, optimized geometry
# * DFT formation energy: -0.253 eV per atom
data_BaCa2Pb
_cell_length_a 5.4972
_cell_length_b 5.4972
_cell_length_c 9.9857
_cell_angle_alpha 90.00
_cell_angle_beta 90.00
_cell_angle_gamma 90.00
_space_group_name_H-M_alt 'I -4 m 2'
_space_group_IT_number 119
_space_group_name_Hall 'I -4 -2'
loop_
_atom_site_label
_atom_site_type_symbol
_atom_site_fract_x
_atom_site_fract_y
_atom_site_fract_z
Ba1 Ba 0.0000 0.0000 0.0000
Ca1 Ca 0.0000 0.0000 0.5000
Ca2 Ca 0.0000 0.5000 0.7500
Pb1 Pb 0.0000 0.5000 0.2500


(23)
# PBE Ba2CaPb, optimized geometry
# * DFT formation energy: -0.125 eV per atom
data_Ba2CaPb
_cell_length_a 4.2790
_cell_length_b 4.2790
_cell_length_c 36.9763
_cell_angle_alpha 90.00
_cell_angle_beta 90.00
_cell_angle_gamma 120.00
_space_group_name_H-M_alt 'R -3 m'
_space_group_IT_number 166
_space_group_name_Hall '-R 3 2"'
loop_
_atom_site_label
_atom_site_type_symbol
_atom_site_fract_x
_atom_site_fract_y
_atom_site_fract_z
Ba1 Ba 0.0000 0.0000 0.2366
Ca1 Ca 0.0000 0.0000 0.0000
Pb1 Pb 0.0000 0.0000 0.5000


(24)
# PBE Ba2CaPb2, optimized geometry
# * DFT formation energy: -0.306 eV per atom
# * energy above the most stable polymorph in this dataset: 196 meV/atom
data_Ba2CaPb2
_cell_length_a 10.3062
_cell_length_b 10.3062
_cell_length_c 3.8345
_cell_angle_alpha 90.00
_cell_angle_beta 90.00
_cell_angle_gamma 90.00
_space_group_name_H-M_alt 'P 4/m b m'
_space_group_IT_number 127
_space_group_name_Hall '-P 4 2ab'
loop_
_atom_site_label
_atom_site_type_symbol
_atom_site_fract_x
_atom_site_fract_y
_atom_site_fract_z
Ba1 Ba 0.1253 0.3747 0.0000
Ca1 Ca 0.0000 0.0000 0.0000
Pb1 Pb 0.1752 0.6752 0.5000


(25)
# PBE BaCa2Pb, optimized geometry
# * DFT formation energy: -0.061 eV per atom
data_BaCa2Pb
_cell_length_a 5.1808
_cell_length_b 5.1808
_cell_length_c 24.5672
_cell_angle_alpha 90.00
_cell_angle_beta 90.00
_cell_angle_gamma 90.00
_space_group_name_H-M_alt 'I -4 2 d'
_space_group_IT_number 122
_space_group_name_Hall 'I -4 2bw'
loop_
_atom_site_label
_atom_site_type_symbol
_atom_site_fract_x
_atom_site_fract_y
_atom_site_fract_z
Ba1 Ba 0.0000 0.0000 0.0000
Ca1 Ca 0.2205 0.2500 0.6250
Pb1 Pb 0.0000 0.0000 0.5000